Pr3Nd2Sb3 PBE optimized geometry; ΔE_f (raw) = -971 meV per atom; density = 7.14 g cm⁻³
1.0
9.389 0.000 0.000
-4.695 8.132 0.000
0.000 0.000 6.558
Pr Nd Sb
6 4 6
Direct
0.000 0.251 0.250
0.000 0.749 0.750
0.251 0.000 0.250
0.251 0.251 0.750
0.749 0.000 0.750
0.749 0.749 0.250
0.333 0.667 0.000
0.333 0.667 0.500
0.667 0.333 0.000
0.667 0.333 0.500
0.000 0.387 0.750
0.000 0.613 0.250
0.387 0.000 0.750
0.387 0.387 0.250
0.613 0.000 0.250
0.613 0.613 0.750